# GaFeN2 PBE-GGA relaxed
data_GaFeN2
_symmetry_space_group_name_H-M 'P n a 21'
_symmetry_Int_Tables_number 33
_cell_length_a 5.420
_cell_length_b 6.295
_cell_length_c 5.097
_cell_angle_alpha 90.00
_cell_angle_beta 90.00
_cell_angle_gamma 90.00
loop_
_symmetry_equiv_pos_as_xyz
'x,y,z'
'-x,-y,z+1/2'
'-x+1/2,y+1/2,z+1/2'
'x+1/2,-y+1/2,z'
loop_
_atom_site_label
_atom_site_type_symbol
_atom_site_fract_x
_atom_site_fract_y
_atom_site_fract_z
Ga1 Ga 0.087 0.123 0.000
Fe1 Fe 0.073 0.625 0.995
N1 N 0.077 0.622 0.360
N2 N 0.097 0.132 0.390
# Fermi-level density of states   9.0 states/eV/cell
# Size of the total moment   0.0 Bohr magnetons per cell
# Energy relative to the elements, uncorrected   0.16 eV/f.u.

=====

# NdAlZn2Ni2 PBE-GGA relaxed
data_NdAlZn2Ni2
_symmetry_space_group_name_H-M 'P 4/m m m'
_symmetry_Int_Tables_number 123
_symmetry_space_group_name_Hall '-P 4 2'
_cell_length_a 4.366
_cell_length_b 4.366
_cell_length_c 5.734
_cell_angle_alpha 90.00
_cell_angle_beta 90.00
_cell_angle_gamma 90.00
loop_
_atom_site_label
_atom_site_type_symbol
_atom_site_fract_x
_atom_site_fract_y
_atom_site_fract_z
Nd1 Nd 0.000 0.000 0.000
Al1 Al 0.000 0.000 0.500
Zn1 Zn 0.500 0.500 0.252
Ni1 Ni 0.000 0.500 0.500
# Fermi-level density of states   3.6 states/eV/cell
# Size of the total moment   0.0 Bohr magnetons per cell
# Formation energy   -11.2 kJ/mol of atoms

=====

Q: Which of these has the lowest Fermi-level density of states?
A: NdAlZn2Ni2

=====

Q: What is the Fermi-level density of states in the first record?
A: 9.0 states/eV/cell

=====

Q: size of the total moment of number 2 (NdAlZn2Ni2)?
A: 0.0 Bohr magnetons per cell